1.
# TcHg2Te

A relaxed TcHg2Te crystal (PBE-GGA, the Alexandria database).

As for the total DFT energy (no corrections): -3.36 eV/atom. As for the symmetry: No. 99. The total magnetization comes out at 0.000 μB/cell. The value obtained for the uncorrected formation energy is 167 meV/atom.

Cell: 3.1949 3.1949 9.3560 Å, 90.00 90.00 90.00°
Closest atoms and distances in Å follow each position.
Fractional positions:
1 Hg 0.0000 0.0000 0.0173  8 Hg 3.19-3.51
2 Hg 0.5000 0.5000 0.3037  4 Tc 2.97, 4 Hg 3.19
3 Tc 0.0000 0.0000 0.5098  4 Te 2.71, 4 Hg 2.97
4 Te 0.5000 0.5000 0.6692  4 Tc 2.71

---

2.
# Li2ZnMo

A relaxed Li2ZnMo crystal (PBE-GGA, the Alexandria database).

As for the total DFT energy (no corrections): -3.54 eV/atom. As for the symmetry: No. 139. The total magnetization comes out at 2.011 μB/cell. The formation enthalpy at 0 K is 0.44 eV per atom.

Cell: 4.9864 4.9864 4.9864 Å, 135.13 135.13 65.34°
Closest atoms and distances in Å follow each position.
Fractional positions:
1 Li 0.0000 0.0000 0.0000  4 Li 2.69, 4 Zn 2.83, 4 Mo 2.83
2 Li 0.5000 0.5000 0.0000  4 Li 2.69, 4 Mo 2.83, 4 Zn 2.83
3 Mo 0.2500 0.7500 0.5000  4 Zn 2.69, 8 Li 2.83
4 Zn 0.7500 0.2500 0.5000  4 Mo 2.69, 8 Li 2.83

---

3.
# Rb2NaI3

A relaxed Rb2NaI3 crystal (PBE-GGA, the Alexandria database).

As for the total DFT energy (no corrections): -2.71 eV/atom. As for the symmetry: No. 71. The total magnetization comes out at 0.000 μB/cell. The value obtained for the uncorrected formation energy is -1392 meV/atom.

Cell: 4.9488 7.2818 8.8698 Å, 114.24 106.20 90.00°
Closest atoms and distances in Å follow each position.
Fractional positions:
1 Rb 0.1722 0.6722 0.3444  6 I 3.63-3.74
2 Rb 0.8278 0.3278 0.6556  6 I 3.63-3.74
3 Na 0.5000 0.0000 0.0000  6 I 3.34-3.64
4 I 0.5000 0.5000 0.0000  4 Rb 3.63, 2 Na 3.64
5 I 0.1456 0.1456 0.2913  2 Na 3.34, 2 Rb 3.66
6 I 0.8544 0.8544 0.7087  2 Na 3.34, 2 Rb 3.66

---

4.
# ZrB2Mo3C2

A relaxed ZrB2Mo3C2 crystal (PBE-GGA, the Alexandria database).

As for the total DFT energy (no corrections): -9.55 eV/atom. As for the symmetry: No. 38. The total magnetization comes out at 0.000 μB/cell. The formation enthalpy at 0 K is -0.44 eV per atom.

Cell: 8.9704 8.9704 3.1627 Å, 90.00 90.00 159.48°
Closest atoms and distances in Å follow each position.
Fractional positions:
1 Zr 0.3137 0.6863 0.5000  5 C 2.25-2.26
2 B 0.4712 0.5288 0.5000  2 B 1.88
3 B 0.5285 0.4715 0.0000  2 B 1.88
4 Mo 0.6876 0.3124 0.0000  5 C 2.15-2.25
5 Mo 0.0706 0.9294 0.5000  1 C 2.03
6 Mo 0.9328 0.0672 0.0000  1 C 2.18, 6 B 2.32-2.35
7 C 0.1859 0.8141 0.5000  5 Mo 2.03-2.25, 1 Zr 2.26
8 C 0.8096 0.1904 0.0000  2 Mo 2.15-2.18, 4 Zr 2.25

---

What is the total DFT energy (no corrections) in the first record? -3.36 eV/atom

---

Among the records above, which one has the lowest total DFT energy (no corrections)? ZrB2Mo3C2

---

Which of these has the highest total DFT energy (no corrections)? Rb2NaI3